# PuTiAs2Rh5

A relaxed structure of PuTiAs2Rh5 (PBE, the Alexandria database).

a b c (Å): 4.029 4.029 10.612
angles (deg): 90.00 90.00 90.00
Fractional positions:
Pu1 0.000 0.000 0.500
Ti1 0.000 0.000 0.000
As1 0.500 0.500 0.274
As2 0.500 0.500 0.726
Rh1 0.000 0.500 0.150
Rh2 0.500 0.000 0.150
Rh3 0.000 0.500 0.850
Rh4 0.500 0.000 0.850
Rh5 0.500 0.500 0.500

Space group: P4/mmm
D(E_F), states/eV per atom: 1.5609
E_form, meV per atom: -464
Electronic total energy, eV per cell: -72.46

---

# Pu2TiAs4Rh3

A relaxed structure of Pu2TiAs4Rh3 (PBE, the Alexandria database).

a b c (Å): 4.240 4.240 10.347
angles (deg): 90.00 90.00 90.00
Fractional positions:
Pu1 0.500 0.000 0.240
Pu2 0.000 0.500 0.760
Ti1 0.500 0.500 0.500
As1 0.500 0.500 0.000
As2 0.000 0.000 0.000
As3 0.500 0.000 0.642
As4 0.000 0.500 0.358
Rh1 0.000 0.000 0.500
Rh2 0.500 0.000 0.880
Rh3 0.000 0.500 0.120

Space group: P-4m2
D(E_F), states/eV per atom: 2.5115
E_form, meV per atom: -736
Electronic total energy, eV per cell: -84.57

---

# Pu2UAs2Rh2

A relaxed structure of Pu2UAs2Rh2 (PBE, the Alexandria database).

a b c (Å): 4.198 4.198 8.835
angles (deg): 76.26 76.26 60.00
Fractional positions:
Pu1 0.155 0.155 0.536
Pu2 0.845 0.845 0.464
U1 0.000 0.000 0.000
As1 0.730 0.730 0.810
As2 0.270 0.270 0.190
Rh1 0.569 0.569 0.292
Rh2 0.431 0.431 0.708

Space group: R-3m
D(E_F), states/eV per atom: 1.9661
E_form, meV per atom: -432
Electronic total energy, eV per cell: -66.98

---

# Pu2UAs3Rh4

A relaxed structure of Pu2UAs3Rh4 (PBE, the Alexandria database).

a b c (Å): 4.134 4.134 11.242
angles (deg): 90.00 90.00 90.00
Fractional positions:
Pu1 0.500 0.000 0.232
Pu2 0.000 0.500 0.768
U1 0.500 0.500 0.500
As1 0.000 0.000 0.500
As2 0.500 0.000 0.872
As3 0.000 0.500 0.128
Rh1 0.500 0.500 0.000
Rh2 0.000 0.000 0.000
Rh3 0.500 0.000 0.654
Rh4 0.000 0.500 0.346

Space group: P-4m2
D(E_F), states/eV per atom: 2.5928
E_form, meV per atom: -669
Electronic total energy, eV per cell: -89.99

---

# Pu2ZnAs4Rh3

A relaxed structure of Pu2ZnAs4Rh3 (PBE, the Alexandria database).

a b c (Å): 4.258 4.258 10.221
angles (deg): 90.00 90.00 90.00
Fractional positions:
Pu1 0.500 0.000 0.245
Pu2 0.000 0.500 0.755
Zn1 0.500 0.500 0.500
As1 0.500 0.500 0.000
As2 0.000 0.000 0.000
As3 0.500 0.000 0.642
As4 0.000 0.500 0.358
Rh1 0.000 0.000 0.500
Rh2 0.500 0.000 0.879
Rh3 0.000 0.500 0.121

Space group: P-4m2
D(E_F), states/eV per atom: 2.7979
E_form, meV per atom: -610
Electronic total energy, eV per cell: -76.69

---

# PuZrAs2Rh5

A relaxed structure of PuZrAs2Rh5 (PBE, the Alexandria database).

a b c (Å): 4.033 4.033 11.061
angles (deg): 90.00 90.00 90.00
Fractional positions:
Pu1 0.000 0.000 0.500
Zr1 0.000 0.000 0.000
As1 0.500 0.500 0.284
As2 0.500 0.500 0.716
Rh1 0.000 0.500 0.167
Rh2 0.500 0.000 0.167
Rh3 0.000 0.500 0.833
Rh4 0.500 0.000 0.833
Rh5 0.500 0.500 0.500

Space group: P4/mmm
D(E_F), states/eV per atom: 1.5641
E_form, meV per atom: -470
Electronic total energy, eV per cell: -73.16